Here is crystalline KCr2Ag at its relaxed geometry from the Alexandria database. Energies are from GGA-PBE.

- Energy relative to the elements: 83 kJ per mole of atoms
- V: 22.6 Å³/atom

Unit cell a=6.1475 b=6.1475 c=6.1475 alpha=151.26 beta=125.14 gamma=63.10
Last column: nearest neighbours and their distance in Å.
Positions (direct):
1 Cr 0.8019 0.3019 0.5000  2 Cr 2.43
2 K 0.5024 0.5024 0.0000  2 K 3.05, 4 Cr 3.22, 2 Ag 3.39
3 Ag 0.2135 0.7135 0.5000  2 Cr 2.86, 2 Ag 3.05
4 Cr 0.9821 0.9821 0.0000  2 Cr 2.43

=====

Here is crystalline KCrAg at its relaxed geometry from the Alexandria database. Energies are from GGA-PBE.

- Energy relative to the elements: 120 kJ per mole of atoms
- V: 35.8 Å³/atom

Unit cell a=5.3347 b=5.3347 c=5.3347 alpha=60.00 beta=60.00 gamma=60.00
Last column: nearest neighbours and their distance in Å.
Positions (direct):
1 K 0.7500 0.7500 0.7500  4 Ag 3.27, 4 Cr 3.27
2 Cr 0.5000 0.5000 0.5000  4 K 3.27
3 Ag 0.0000 0.0000 0.0000  4 K 3.27

=====

Here is crystalline KCrAg2 at its relaxed geometry from the Alexandria database. Energies are from GGA-PBE.

- Energy relative to the elements: 59 kJ per mole of atoms
- V: 22.5 Å³/atom

Unit cell a=10.2683 b=10.2683 c=10.2683 alpha=17.96 beta=17.96 gamma=17.96
Last column: nearest neighbours and their distance in Å.
Positions (direct):
1 Cr 0.2500 0.2500 0.2500  6 Ag 2.83
2 Ag 0.5127 0.5127 0.5127  3 Cr 2.83
3 Ag 0.9873 0.9873 0.9873  3 Cr 2.83
4 K 0.7500 0.7500 0.7500  6 K 3.21, 6 Ag 3.45

=====

Here is crystalline KCr2Ag at its relaxed geometry from the Alexandria database. Energies are from GGA-PBE.

- Energy relative to the elements: 107 kJ per mole of atoms
- V: 23.1 Å³/atom

Unit cell a=3.2234 b=5.3478 c=5.3597 alpha=90.00 beta=90.00 gamma=90.00
Last column: nearest neighbours and their distance in Å.
Positions (direct):
1 Ag 0.0000 0.5000 0.5000  4 K 3.12, 4 Cr 3.13, 2 Ag 3.22
2 Cr 0.5000 0.5000 0.0000  6 Cr 3.12-3.22, 4 Ag 3.13
3 K 0.5000 0.0000 0.5000  4 Ag 3.12, 4 Cr 3.13, 2 K 3.22
4 Cr 0.0000 0.0000 0.0000  6 Cr 3.12-3.22, 4 K 3.13